Here is a geometry-optimized KZr2BP structure from Alexandria via LeMat-Bulk. Energies are from PBE.

As for the total energy: -17.079 eV per cell. As for the spin magnetization: 0.0 μB/cell.

The space group is P4/mmm (No. 123) and the conventional cell measures 4.854, 4.854 and 4.945 Å, with angles of 90.00, 90.00 and 90.00 degrees. The distinct sites, in fractional coordinates, are K at (0.000, 0.000, 0.000), Zr at (0.000, 0.500, 0.000), B at (0.500, 0.500, 0.500) and P at (0.000, 0.000, 0.500).